The following is a PBE calculation of a relaxed PrHoMnCd crystal, from Alexandria via LeMat-Bulk.

The structure in POSCAR format:
```
PrHoMnCd
1.0
7.439 0.000 0.000
0.000 7.439 0.000
0.000 0.000 7.439
Pr Ho Mn Cd
4 4 4 4
Direct
0.000 0.000 0.000
0.000 0.500 0.500
0.500 0.000 0.500
0.500 0.500 0.000
0.000 0.000 0.500
0.000 0.500 0.000
0.500 0.000 0.000
0.500 0.500 0.500
0.250 0.250 0.750
0.250 0.750 0.250
0.750 0.250 0.250
0.750 0.750 0.750
0.250 0.250 0.250
0.250 0.750 0.750
0.750 0.250 0.750
0.750 0.750 0.250
```

theoretical density: 7.64 g/cm³

***

The following is a PBE calculation of a relaxed CrAgPb crystal, from Alexandria via LeMat-Bulk.

The structure in POSCAR format:
```
CrAgPb
1.0
3.731 0.000 0.000
0.000 3.731 0.000
0.000 0.000 9.160
Cr Ag Pb
2 2 2
Direct
0.000 0.000 0.000
0.500 0.500 0.500
0.000 0.000 0.349
0.500 0.500 0.849
0.000 0.000 0.674
0.500 0.500 0.174
```

theoretical density: 9.56 g/cm³

***

The following is a PBE calculation of a relaxed BeRu2C crystal, from Alexandria via LeMat-Bulk.

The structure in POSCAR format:
```
BeRu2C
1.0
6.843 0.000 0.000
0.000 6.843 0.000
0.000 0.000 3.984
Be Ru C
4 8 4
Direct
0.000 0.000 0.000
0.000 0.500 0.250
0.500 0.000 0.750
0.500 0.500 0.500
0.131 0.250 0.625
0.250 0.631 0.875
0.250 0.869 0.375
0.369 0.250 0.125
0.631 0.750 0.125
0.750 0.131 0.375
0.750 0.369 0.875
0.869 0.750 0.625
0.000 0.000 0.500
0.000 0.500 0.750
0.500 0.000 0.250
0.500 0.500 0.000
```

offset from the most stable computed form: 0 meV per atom
theoretical density: 7.95 g/cm³

***

The following is a PBE calculation of a relaxed Ac3MgCu2 crystal, from Alexandria via LeMat-Bulk.

The structure in POSCAR format:
```
Ac3MgCu2
1.0
3.851 0.000 0.000
0.000 3.851 0.000
0.000 0.000 12.071
Ac Mg Cu
3 1 2
Direct
0.000 0.000 0.000
0.000 0.000 0.310
0.000 0.000 0.690
0.500 0.500 0.500
0.500 0.500 0.161
0.500 0.500 0.839
```

theoretical density: 7.72 g/cm³

***

no.,DOS(E_F) (states/eV per cell),uncorrected energy (eV/atom),ΔH_f (0 K) (eV/atom)
1,21.15,-4.85,0.012
2,1.99,-4.95,0.442
3,9.60,-7.57,0.303
4,4.50,-3.76,-0.078